The following is a GGA-PBE calculation of a relaxed structure of ZnInIr2, from Alexandria via LeMat-Bulk.

E in eV for the cell shown: -21.73
Total moment in μB per cell: 0.00
ρ in Mg/m³: 14.7
Symmetry: No. 12
ΔH_f (0 K) in meV/atom: 0.0

a = 4.652 Å, b = 4.652 Å, c = 5.027 Å
α = 79.09°, β = 79.09°, γ = 36.75°
Atoms (fractional coordinates):
In 0.250 0.250 0.250
Ir 0.004 0.004 0.980
Ir 0.496 0.496 0.520
Zn 0.750 0.750 0.750